This record from Alexandria describes an optimized crystal structure of CdSnPb2. The functional is PBE.

Summary:
As for the volume: 30.2 Å³/atom. The total energy is -0.2203 Ry/atom. As for the density of states at the Fermi level: 0.59 states/eV/atom. The energy of formation from the pure elements comes out at 2.0 kcal/mol of atoms. The calculation puts the total moment at 0.0 μB/f.u. As for the distance to the lowest polymorph of the same formula: 35 meV/atom.

Unit cell a=3.4219 b=3.4219 c=12.0876 alpha=81.86 beta=81.86 gamma=60.00
Atoms (fractional coordinates):
Pb (0.9129, 0.9129, 0.2614)
Pb (0.0871, 0.0871, 0.7386)
Sn (0.5000, 0.5000, 0.5000)
Cd (0.0000, 0.0000, 0.0000)